# 1
Density functional theory data (GGA-PBE) for crystalline LiPm8Ir5 at its relaxed geometry.

Computed properties:
- size of the total moment (μB per atom) = 0.000
- calculated volume (A^3/atom) = 25.258
- energy of formation from the pure elements (eV/atom) = -0.5193

Unit cell a=8.948 b=8.948 c=8.832 alpha=90.00 beta=90.00 gamma=90.00
Space group I-4 (No. 82)
Inequivalent atoms, fractional coordinates:
Li 0.000 0.000 0.000
Pm 0.062 0.196 0.325
Pm 0.068 0.326 0.934
Ir 0.000 0.500 0.250
Ir 0.141 0.254 0.629

# 2
Density functional theory data (GGA-PBE) for crystalline LiPm2Ir9 at its relaxed geometry.

Computed properties:
- size of the total moment (μB per atom) = 0.000
- calculated volume (A^3/atom) = 17.988
- energy of formation from the pure elements (eV/atom) = -0.2833

Unit cell a=5.3260 b=5.3260 c=26.3611 alpha=90.00 beta=90.00 gamma=120.00
Space group R-3m (No. 166, hexagonal axes)
Inequivalent atoms, fractional coordinates:
Li 0.0000 0.0000 0.0000
Pm 0.0000 0.0000 0.1362
Ir 0.0000 0.0000 0.3325
Ir 0.0000 0.0000 0.5000
Ir 0.0022 0.5011 0.0808

# 3
Density functional theory data (GGA-PBE) for crystalline LiPm8Ir2 at its relaxed geometry.

Computed properties:
- size of the total moment (μB per atom) = 0.000
- calculated volume (A^3/atom) = 28.703
- energy of formation from the pure elements (eV/atom) = -0.2657

Unit cell a=18.126 b=5.031 c=7.175 alpha=90.00 beta=105.18 gamma=90.00
Space group C2/m (No. 12)
Inequivalent atoms, fractional coordinates:
Li 0.000 0.000 0.000
Pm 0.039 0.500 0.765
Pm 0.094 0.000 0.470
Pm 0.173 0.000 0.966
Pm 0.200 0.500 0.323
Ir 0.195 0.500 0.719

# 4
Density functional theory data (GGA-PBE) for crystalline LiPm3Ir2 at its relaxed geometry.

Computed properties:
- size of the total moment (μB per atom) = 0.000
- calculated volume (A^3/atom) = 23.273
- energy of formation from the pure elements (eV/atom) = -0.5313

Unit cell a=11.654 b=4.173 c=11.486 alpha=90.00 beta=90.00 gamma=90.00
Space group Pnma (No. 62)
Inequivalent atoms, fractional coordinates:
Li 0.126 0.250 0.118
Pm 0.051 0.250 0.374
Pm 0.125 0.750 0.929
Pm 0.204 0.250 0.683
Ir 0.016 0.750 0.183
Ir 0.182 0.750 0.506

# 5
Density functional theory data (GGA-PBE) for crystalline LiPmIr at its relaxed geometry.

Computed properties:
- size of the total moment (μB per atom) = 0.000
- calculated volume (A^3/atom) = 19.804
- energy of formation from the pure elements (eV/atom) = -0.2410

Unit cell a=3.608 b=3.608 c=9.126 alpha=90.00 beta=90.00 gamma=90.00
Space group I4mm (No. 107)
Inequivalent atoms, fractional coordinates:
Li 0.000 0.000 0.000
Pm 0.000 0.000 0.297
Ir 0.000 0.000 0.633

# 6
Density functional theory data (GGA-PBE) for crystalline LiPmIr at its relaxed geometry.

Computed properties:
- size of the total moment (μB per atom) = 0.000
- calculated volume (A^3/atom) = 19.766
- energy of formation from the pure elements (eV/atom) = -0.3404

Unit cell a=4.3799 b=4.3799 c=3.5692 alpha=90.00 beta=90.00 gamma=120.00
Space group P-6m2 (No. 187)
Inequivalent atoms, fractional coordinates:
Li 0.0000 0.0000 0.0000
Pm 0.6667 0.3333 0.5000
Ir 0.3333 0.6667 0.0000

# 7
Density functional theory data (GGA-PBE) for crystalline Li2PmIr at its relaxed geometry.

Computed properties:
- size of the total moment (μB per atom) = 0.000
- calculated volume (A^3/atom) = 19.195
- energy of formation from the pure elements (eV/atom) = -0.2742

Unit cell a=5.157 b=5.744 c=5.509 alpha=90.00 beta=109.76 gamma=90.00
Space group P2_1/m (No. 11)
Inequivalent atoms, fractional coordinates:
Li 0.075 0.037 0.278
Pm 0.457 0.250 0.795
Ir 0.385 0.750 0.661

# 8
Density functional theory data (GGA-PBE) for crystalline LiPm3Ir3 at its relaxed geometry.

Computed properties:
- size of the total moment (μB per atom) = 0.000
- calculated volume (A^3/atom) = 21.862
- energy of formation from the pure elements (eV/atom) = -0.5387

Unit cell a=10.987 b=4.195 c=14.159 alpha=90.00 beta=110.28 gamma=90.00
Space group C2/m (No. 12)
Inequivalent atoms, fractional coordinates:
Li 0.238 0.000 0.411
Pm 0.032 0.500 0.381
Pm 0.111 0.500 0.924
Pm 0.245 0.500 0.227
Ir 0.023 0.000 0.230
Ir 0.114 0.000 0.080
Ir 0.123 0.000 0.557

# 9
Density functional theory data (GGA-PBE) for crystalline LiPmIr2 at its relaxed geometry.

Computed properties:
- size of the total moment (μB per atom) = 0.000
- calculated volume (A^3/atom) = 17.812
- energy of formation from the pure elements (eV/atom) = -0.1314

Unit cell a=6.581 b=6.581 c=6.581 alpha=90.00 beta=90.00 gamma=90.00
Space group Fm-3m (No. 225)
Inequivalent atoms, fractional coordinates:
Li 0.000 0.000 0.000
Pm 0.000 0.000 0.500
Ir 0.250 0.250 0.250

# 10
Density functional theory data (GGA-PBE) for crystalline LiPmIr2 at its relaxed geometry.

Computed properties:
- size of the total moment (μB per atom) = 0.000
- calculated volume (A^3/atom) = 17.443
- energy of formation from the pure elements (eV/atom) = -0.2498

Unit cell a=4.083 b=4.083 c=4.185 alpha=90.00 beta=90.00 gamma=90.00
Space group P4/mmm (No. 123)
Inequivalent atoms, fractional coordinates:
Li 0.000 0.000 0.000
Pm 0.500 0.500 0.000
Ir 0.000 0.500 0.500

# 11
Density functional theory data (GGA-PBE) for crystalline LiPmIr at its relaxed geometry.

Computed properties:
- size of the total moment (μB per atom) = 0.000
- calculated volume (A^3/atom) = 20.084
- energy of formation from the pure elements (eV/atom) = -0.4500

Unit cell a=7.179 b=4.048 c=12.440 alpha=90.00 beta=90.10 gamma=90.00
Space group P2_1/m (No. 11)
Inequivalent atoms, fractional coordinates:
Li 0.008 0.250 0.082
Li 0.127 0.750 0.538
Li 0.371 0.250 0.197
Pm 0.051 0.750 0.286
Pm 0.338 0.250 0.919
Pm 0.456 0.250 0.622
Ir 0.243 0.750 0.750
Ir 0.252 0.750 0.079
Ir 0.255 0.250 0.414

# 12
Density functional theory data (GGA-PBE) for crystalline LiPm2Ir at its relaxed geometry.

Computed properties:
- size of the total moment (μB per atom) = 0.000
- calculated volume (A^3/atom) = 22.847
- energy of formation from the pure elements (eV/atom) = -0.3448

Unit cell a=4.959 b=4.959 c=3.716 alpha=90.00 beta=90.00 gamma=90.00
Space group P4/mmm (No. 123)
Inequivalent atoms, fractional coordinates:
Li 0.000 0.000 0.000
Pm 0.000 0.500 0.500
Ir 0.500 0.500 0.000